## Zn3SnBr (PBE)

Data for a relaxed Zn3SnBr crystal.

The calculation puts the energy above the most stable polymorph in this dataset at 0 meV/atom. As for the total magnetic moment: 0.0 Bohr magnetons per cell. The calculation puts the formation energy from raw total energies at 0.10 eV per atom.

It has space group Pm-3m (No. 221), with a = 5.257 Å, b = 5.257 Å, c = 5.257 Å, α = 90.00°, β = 90.00° and γ = 90.00°. The asymmetric unit holds Zn at (0.000, 0.000, 0.500), Sn at (0.000, 0.000, 0.000) and Br at (0.500, 0.500, 0.500).